No. 1
VASP calculation (meta-GGA SCAN) on SiPtW2 at its PBEsol-relaxed geometry.

Computed properties:
DFT total energy: -54.84 eV per atom
E_form (uncorrected): 52 meV/atom

abc: 2.7769 2.7769 8.9761
angles: 81.10 81.10 60.00
Closest atoms and distances in Å follow each position.
Fractional positions:
W 0.2524 0.2524 0.2427  3 Si 2.68, 6 W 2.78, 3 Pt 2.78
W 0.7476 0.7476 0.7573  3 Si 2.68, 6 W 2.78, 3 Pt 2.78
Si 0.0000 0.0000 0.0000  6 W 2.68, 6 Si 2.78
Pt 0.5000 0.5000 0.5000  6 Pt 2.78, 6 W 2.78



No. 2
VASP calculation (meta-GGA SCAN) on SiPtW2 at its PBEsol-relaxed geometry.

Computed properties:
DFT total energy: -54.85 eV per atom
E_form (uncorrected): 49 meV/atom

abc: 2.7869 2.7869 8.9473
angles: 81.04 81.04 60.00
Closest atoms and distances in Å follow each position.
Fractional positions:
W 0.9944 0.9944 0.0167  3 Si 2.65, 9 W 2.79-2.89
W 0.7519 0.7519 0.7444  9 W 2.79-2.89, 3 Pt 2.81
Pt 0.5059 0.5059 0.4824  3 Si 2.56, 6 Pt 2.79, 3 W 2.81
Si 0.2478 0.2478 0.2565  3 Pt 2.56, 3 W 2.65, 6 Si 2.79



No. 3
VASP calculation (meta-GGA SCAN) on SiPtW2 at its PBEsol-relaxed geometry.

Computed properties:
DFT total energy: -54.82 eV per atom
E_form (uncorrected): 71 meV/atom

abc: 2.7360 2.7360 7.8643
angles: 90.00 90.00 90.00
Closest atoms and distances in Å follow each position.
Fractional positions:
W 0.5000 0.5000 0.2558  8 W 2.74-2.89, 4 Pt 2.81
W 0.0000 0.0000 0.9836  4 Si 2.69, 8 W 2.74-2.89
Si 0.5000 0.5000 0.7455  4 Pt 2.65, 4 W 2.69, 4 Si 2.74
Pt 0.0000 0.0000 0.5150  4 Si 2.65, 4 Pt 2.74, 4 W 2.81



No. 4
VASP calculation (meta-GGA SCAN) on YSi2Pt at its PBEsol-relaxed geometry.

Computed properties:
DFT total energy: -30.02 eV per atom
E_form (uncorrected): -506 meV/atom

abc: 3.9464 3.9464 5.1865
angles: 112.36 112.36 90.00
Closest atoms and distances in Å follow each position.
Fractional positions:
Pt 0.2500 0.7500 0.5000  8 Si 2.79-2.94, 4 Y 2.94
Si 0.0000 0.0000 0.0000  4 Y 2.79, 4 Si 2.94, 4 Pt 2.94
Si 0.7500 0.2500 0.5000  4 Pt 2.79, 4 Si 2.94, 4 Y 2.94
Y 0.5000 0.5000 0.0000  8 Si 2.79-2.94, 4 Pt 2.94



No. 5
VASP calculation (meta-GGA SCAN) on Zn2SiPt at its PBEsol-relaxed geometry.

Computed properties:
DFT total energy: -27.00 eV per atom
E_form (uncorrected): -185 meV/atom

abc: 3.7813 3.7813 3.8809
angles: 90.00 90.00 90.00
Closest atoms and distances in Å follow each position.
Fractional positions:
Zn 0.0000 0.5000 0.0000  4 Zn 2.67, 4 Si 2.71, 4 Pt 2.71
Zn 0.5000 0.0000 0.0000  4 Zn 2.67, 4 Si 2.71, 4 Pt 2.71
Pt 0.5000 0.5000 0.5000  4 Si 2.67, 8 Zn 2.71
Si 0.0000 0.0000 0.5000  4 Pt 2.67, 8 Zn 2.71



No. 6
VASP calculation (meta-GGA SCAN) on Zn2SiPt at its PBEsol-relaxed geometry.

Computed properties:
DFT total energy: -26.87 eV per atom
E_form (uncorrected): -62 meV/atom

abc: 2.7471 2.7471 7.7738
angles: 90.00 90.00 90.00
Closest atoms and distances in Å follow each position.
Fractional positions:
Si 0.5000 0.5000 0.5000  4 Si 2.75, 8 Zn 2.84
Pt 0.5000 0.5000 0.0000  8 Zn 2.66, 4 Pt 2.75
Zn 0.0000 0.0000 0.7669  4 Pt 2.66, 4 Zn 2.75, 4 Si 2.84
Zn 0.0000 0.0000 0.2331  4 Pt 2.66, 4 Zn 2.75, 4 Si 2.84



No. 7
VASP calculation (meta-GGA SCAN) on ZnSiPt4 at its PBEsol-relaxed geometry.

Computed properties:
DFT total energy: -50.57 eV per atom
E_form (uncorrected): 146 meV/atom

abc: 5.1929 5.1929 5.1929
angles: 60.00 60.00 60.00
Closest atoms and distances in Å follow each position.
Fractional positions:
Pt 0.3749 0.3749 0.8752  6 Pt 2.60
Pt 0.3749 0.8752 0.3749  6 Pt 2.60
Pt 0.8752 0.3749 0.3749  6 Pt 2.60
Pt 0.3749 0.3749 0.3749  6 Pt 2.60
Si 0.7500 0.7500 0.7500  12 Pt 3.04, 4 Zn 3.18
Zn 0.0000 0.0000 0.0000  12 Pt 3.04, 4 Si 3.18



No. 8
VASP calculation (meta-GGA SCAN) on Zn2SiPt at its PBEsol-relaxed geometry.

Computed properties:
DFT total energy: -26.99 eV per atom
E_form (uncorrected): -181 meV/atom

abc: 3.8772 3.8772 4.6112
angles: 114.86 114.86 90.00
Closest atoms and distances in Å follow each position.
Fractional positions:
Si 0.2500 0.7500 0.5000  4 Pt 2.68, 8 Zn 2.68-2.74
Zn 0.0000 0.0000 0.0000  4 Si 2.68, 4 Zn 2.68, 4 Pt 2.74
Zn 0.7500 0.2500 0.5000  4 Zn 2.68, 4 Pt 2.68, 4 Si 2.74
Pt 0.5000 0.5000 0.0000  8 Zn 2.68-2.74, 4 Si 2.68



No. 9
VASP calculation (meta-GGA SCAN) on Zn2SiPt at its PBEsol-relaxed geometry.

Computed properties:
DFT total energy: -27.05 eV per atom
E_form (uncorrected): -245 meV/atom

abc: 3.1869 3.5562 4.9802
angles: 90.00 90.00 90.00
Closest atoms and distances in Å follow each position.
Fractional positions:
Zn 0.0000 0.0000 0.2506  2 Zn 2.48-2.50, 4 Si 2.69, 4 Pt 2.69
Zn 0.0000 0.0000 0.7494  2 Zn 2.48-2.50, 4 Si 2.69, 4 Pt 2.69
Pt 0.5000 0.5000 0.0000  2 Si 2.49, 8 Zn 2.69
Si 0.5000 0.5000 0.5000  2 Pt 2.49, 8 Zn 2.69



No. 10
VASP calculation (meta-GGA SCAN) on Zn2SiPt at its PBEsol-relaxed geometry.

Computed properties:
DFT total energy: -27.04 eV per atom
E_form (uncorrected): -230 meV/atom

abc: 2.9127 4.4859 4.5980
angles: 97.53 90.00 108.94
Closest atoms and distances in Å follow each position.
Fractional positions:
Si 0.7584 0.5167 0.2681  3 Pt 2.56-2.57, 7 Zn 2.57-2.80
Zn 0.9991 0.9982 0.9861  3 Zn 2.46-2.67, 1 Si 2.57, 4 Pt 2.71-2.74
Zn 0.2470 0.4939 0.7647  3 Zn 2.46-2.67, 1 Pt 2.63, 4 Si 2.72-2.73
Pt 0.4956 0.9912 0.4811  3 Si 2.56-2.57, 7 Zn 2.63-2.76



No. 11
VASP calculation (meta-GGA SCAN) on ZnSi3Pt at its PBEsol-relaxed geometry.

Computed properties:
DFT total energy: -21.60 eV per atom
E_form (uncorrected): 1147 meV/atom

abc: 4.4664 4.4664 4.4664
angles: 90.00 90.00 90.00
Closest atoms and distances in Å follow each position.
Fractional positions:
Si 0.0000 0.5000 0.0000  2 Zn 2.23
Si 0.0000 0.0000 0.5000  2 Zn 2.23
Si 0.5000 0.0000 0.0000  2 Zn 2.23
Pt 0.5000 0.5000 0.5000  12 Si 3.16
Zn 0.0000 0.0000 0.0000  6 Si 2.23



No. 12
VASP calculation (meta-GGA SCAN) on ZnSi2Pt at its PBEsol-relaxed geometry.

Computed properties:
DFT total energy: -25.92 eV per atom
E_form (uncorrected): 19 meV/atom

abc: 3.7053 3.7053 5.1123
angles: 111.10 111.10 90.39
Closest atoms and distances in Å follow each position.
Fractional positions:
Zn 0.5000 0.5000 0.0000  4 Si 2.56, 4 Pt 2.61-2.63
Pt 0.0000 0.0000 0.0000  4 Si 2.56, 4 Zn 2.61-2.63
Si 0.0000 0.0000 0.5000  2 Zn 2.56, 2 Pt 2.56, 4 Si 2.61-2.63
Si 0.5000 0.5000 0.5000  2 Pt 2.56, 2 Zn 2.56, 4 Si 2.61-2.63



Look up the DFT total energy of the fourth one. -30.02 eV per atom



What is the E_form (uncorrected) in the eleventh record? 1147 meV/atom